[1]
The following is a DFT calculation (GGA-PBE) of a relaxed Li2TiInO4 crystal.

Summary:
**DFT total energy**: -6.366 eV per atom

Cell: 5.9910 6.2285 9.1136 Å, 90.00 90.00 90.00°
Space group Imma (No. 74)
Inequivalent atoms, fractional coordinates:
Li: 0.0000 0.0000 0.0000
Li: 0.2500 0.2500 0.2500
Ti: 0.2500 0.2500 0.7500
In: 0.0000 0.0000 0.5000
O: 0.0000 0.0134 0.7447
O: 0.2448 0.2500 0.9777

***

[2]
The following is a DFT calculation (GGA-PBE) of a relaxed CsGaSe3 crystal.

Summary:
**Energy relative to the lowest polymorph listed for this composition**: 491.6 meV per atom
**DFT total energy**: -3.178 eV per atom

Cell: 5.2404 5.2404 5.2404 Å, 90.00 90.00 90.00°
Space group Pm-3m (No. 221)
Inequivalent atoms, fractional coordinates:
Cs: 0.0000 0.0000 0.0000
Ga: 0.5000 0.5000 0.5000
Se: 0.0000 0.5000 0.5000

***

[3]
The following is a DFT calculation (GGA-PBE) of a relaxed AlRh crystal.

Summary:
**DFT formation energy**: -0.715 eV/atom
**DFT total energy**: -6.262 eV per atom

Cell: 4.6448 5.6287 6.5366 Å, 90.00 90.15 90.00°
Space group Pm (No. 6)
Inequivalent atoms, fractional coordinates:
Al: 0.0000 0.0000 0.0000
Al: 0.1206 0.2440 0.3756
Al: 0.3132 0.5000 0.7010
Al: 0.5219 0.2535 0.0277
Rh: 0.0643 0.5000 0.0535
Rh: 0.3262 0.0000 0.7000
Rh: 0.5670 0.5000 0.3479
Rh: 0.6646 0.0000 0.3317
Rh: 0.8141 0.2516 0.7013

***

[4]
The following is a DFT calculation (GGA-PBE) of a relaxed Pr8Hg2Rh3 crystal.

Summary:
**DFT formation energy**: -0.361 eV/atom
**DFT total energy**: -5.045 eV per atom

Cell: 9.0131 5.1213 9.0205 Å, 90.00 110.27 90.00°
Space group P2/m (No. 10)
Inequivalent atoms, fractional coordinates:
Pr: 0.1147 0.0000 0.3841
Pr: 0.1313 0.5000 0.8615
Pr: 0.3605 0.5000 0.6298
Pr: 0.3855 0.0000 0.1158
Hg: 0.2566 0.5000 0.2434
Rh: 0.0000 0.5000 0.5000
Rh: 0.2571 0.0000 0.7573